(1)
The following is a GGA-PBE calculation of a relaxed ZnBi3Pb crystal, from Alexandria.

abc: 5.992 5.992 5.992
angles: 90.00 90.00 90.00
Space group Pm-3m (No. 221)
Inequivalent atoms, fractional coordinates:
Zn1 0.000 0.000 0.000 x1
Bi1 0.000 0.500 0.500 x3
Pb1 0.500 0.500 0.500 x1

Output
Energy relative to the elements (eV/atom): 0.90
Magnetization (μB per atom): 0.000
Crystal system: cubic
Relative energy among the computed polymorphs (meV per atom): 539

(2)
The following is a GGA-PBE calculation of a relaxed Sr4Ac5 crystal, from Alexandria.

abc: 14.101 14.101 4.367
angles: 90.00 90.00 90.00
Space group I4/mmm (No. 139)
Inequivalent atoms, fractional coordinates:
Sr1 0.000 0.330 0.000 x8
Ac1 0.000 0.000 0.000 x2
Ac2 0.167 0.167 0.500 x8

Output
Energy relative to the elements (eV/atom): 0.11
Magnetization (μB per atom): 0.000
Crystal system: tetragonal

(3)
The following is a GGA-PBE calculation of a relaxed K6Rb8H crystal, from Alexandria.

abc: 12.6974 12.6974 23.5674
angles: 90.00 90.00 120.00
Space group R-3 (No. 148, hexagonal axes)
Inequivalent atoms, fractional coordinates:
K1 0.0596 0.2390 0.4208 x18
Rb1 0.0000 0.0000 0.2574 x6
Rb2 0.0434 0.2230 0.9227 x18
H1 0.0000 0.0000 0.0000 x3

Output
Magnetization (μB per atom): 0.000
Crystal system: trigonal
Electronic total energy (eV/atom): -1.1763

Repeat the first record exactly.
The following is a GGA-PBE calculation of a relaxed ZnBi3Pb crystal, from Alexandria.

abc: 5.992 5.992 5.992
angles: 90.00 90.00 90.00
Space group Pm-3m (No. 221)
Inequivalent atoms, fractional coordinates:
Zn1 0.000 0.000 0.000 x1
Bi1 0.000 0.500 0.500 x3
Pb1 0.500 0.500 0.500 x1

Output
Energy relative to the elements (eV/atom): 0.90
Magnetization (μB per atom): 0.000
Crystal system: cubic
Relative energy among the computed polymorphs (meV per atom): 539

Q: Which formula does entry 2 have?
A: Sr4Ac5

Copy entry 3 word for word.
The following is a GGA-PBE calculation of a relaxed K6Rb8H crystal, from Alexandria.

abc: 12.6974 12.6974 23.5674
angles: 90.00 90.00 120.00
Space group R-3 (No. 148, hexagonal axes)
Inequivalent atoms, fractional coordinates:
K1 0.0596 0.2390 0.4208 x18
Rb1 0.0000 0.0000 0.2574 x6
Rb2 0.0434 0.2230 0.9227 x18
H1 0.0000 0.0000 0.0000 x3

Output
Magnetization (μB per atom): 0.000
Crystal system: trigonal
Electronic total energy (eV/atom): -1.1763